A plane-wave DFT calculation with PBE was carried out for crystalline WS at its relaxed geometry.

Unit cell a=3.1108 b=3.1108 c=3.4511 alpha=90.00 beta=90.00 gamma=120.00
Positions (direct):
S 0.6667 0.3333 0.7500
W 0.3333 0.6667 0.2500

Values from the calculation:
The crystal system is hexagonal. The volume comes out at 28.92 Å³/cell. The total energy is -16.74 eV per cell. Its space group is P-6m2, No. 187.

***

A plane-wave DFT calculation with PBE was carried out for crystalline WS2 at its relaxed geometry.

Unit cell a=5.9367 b=5.9367 c=5.9367 alpha=90.00 beta=90.00 gamma=90.00
Each line ends with the local moment (μB).
Positions (direct):
S 0.3576 0.6424 0.1424  -0.04
S 0.1424 0.3576 0.6424  -0.04
S 0.6424 0.1424 0.3576  -0.04
S 0.1424 0.1424 0.1424  -0.04
S 0.8576 0.6424 0.3576  -0.04
S 0.3576 0.8576 0.6424  -0.04
S 0.8576 0.8576 0.8576  -0.04
S 0.6424 0.3576 0.8576  -0.04
W 0.5000 0.5000 0.5000  0.97
W 0.0000 0.5000 0.0000  1.02
W 0.0000 0.0000 0.5000  0.99
W 0.5000 0.0000 0.0000  0.98

Values from the calculation:
The crystal system is cubic. The volume comes out at 209.24 Å³/cell. The total energy is -86.57 eV per cell. Its space group is Pa-3, No. 205.

***

A plane-wave DFT calculation with PBE was carried out for crystalline WS2 at its relaxed geometry.

Unit cell a=5.5354 b=6.8944 c=5.5992 alpha=90.00 beta=90.00 gamma=90.00
Positions (direct):
W 0.0000 0.9079 0.2500
W 0.0000 0.0921 0.7500
W 0.5000 0.4079 0.2500
W 0.5000 0.5921 0.7500
S 0.2665 0.8651 0.5826
S 0.2665 0.1349 0.0826
S 0.7665 0.3651 0.9174
S 0.7335 0.8651 0.9174
S 0.2335 0.6349 0.0826
S 0.7335 0.1349 0.4174
S 0.7665 0.6349 0.4174
S 0.2335 0.3651 0.5826

Values from the calculation:
The crystal system is orthorhombic. The volume comes out at 213.68 Å³/cell. The total energy is -90.47 eV per cell. Its space group is Pbcn, No. 60.

***

A plane-wave DFT calculation with PBE was carried out for crystalline WS2 at its relaxed geometry.

Unit cell a=3.9753 b=3.9753 c=7.6226 alpha=90.00 beta=90.00 gamma=120.07
Each line ends with the local moment (μB).
Positions (direct):
W 0.8335 0.1665 0.2500  0.11
W 0.1665 0.8335 0.7500  0.11
S 0.5000 0.5000 0.5000  -0.01
S 0.1667 0.8333 0.2500  -0.01
S 0.8333 0.1667 0.7500  -0.01
S 0.5000 0.5000 0.0000  -0.01

Values from the calculation:
The crystal system is hexagonal. The volume comes out at 104.24 Å³/cell. The total energy is -38.90 eV per cell. Its space group is P6_3/mmc, No. 194.

***

A plane-wave DFT calculation with PBE was carried out for crystalline WS2 at its relaxed geometry.

Unit cell a=3.2123 b=3.2123 c=11.4353 alpha=93.74 beta=93.74 gamma=60.00
Positions (direct):
W 0.0000 0.0000 0.0000
S 0.6879 0.6879 0.1376
S 0.3121 0.3121 0.8624

Values from the calculation:
The crystal system is monoclinic. The volume comes out at 101.90 Å³/cell. The total energy is -22.78 eV per cell. Its space group is C2/m, No. 12.

***

A plane-wave DFT calculation with PBE was carried out for crystalline WS2 at its relaxed geometry.

Unit cell a=6.3591 b=6.3591 c=6.3591 alpha=153.08 beta=153.08 gamma=38.43
Positions (direct):
W 0.5000 0.5000 0.0000
S 0.8787 0.8787 0.0000
S 0.1213 0.1213 0.0000

Values from the calculation:
The crystal system is tetragonal. The volume comes out at 52.61 Å³/cell. The total energy is -22.26 eV per cell. Its space group is I4/mmm, No. 139.

***

A plane-wave DFT calculation with PBE was carried out for crystalline WS6 at its relaxed geometry.

Unit cell a=5.8526 b=5.8526 c=5.8526 alpha=75.24 beta=75.24 gamma=75.24
Positions (direct):
W 0.0000 0.0000 0.0000
S 0.0281 0.4133 0.8608
S 0.5867 0.1392 0.9719
S 0.1392 0.9719 0.5867
S 0.8608 0.0281 0.4133
S 0.9719 0.5867 0.1392
S 0.4133 0.8608 0.0281

Values from the calculation:
The crystal system is trigonal. The volume comes out at 183.54 Å³/cell. The total energy is -38.31 eV per cell. Its space group is R-3, No. 148.

***

A plane-wave DFT calculation with PBE was carried out for crystalline WS2 at its relaxed geometry.

Unit cell a=7.2546 b=7.2546 c=7.2546 alpha=60.00 beta=60.00 gamma=60.00
Positions (direct):
W 0.5000 0.5000 0.5000
W 0.2500 0.2500 0.2500
S 0.3750 0.3750 0.8750
S 0.8750 0.3750 0.3750
S 0.3750 0.3750 0.3750
S 0.3750 0.8750 0.3750

Values from the calculation:
The crystal system is cubic. The volume comes out at 269.97 Å³/cell. The total energy is -42.73 eV per cell. Its space group is Fd-3m, No. 227.

***

What did the sixth record say?
A plane-wave DFT calculation with PBE was carried out for crystalline WS2 at its relaxed geometry.

Unit cell a=6.3591 b=6.3591 c=6.3591 alpha=153.08 beta=153.08 gamma=38.43
Positions (direct):
W 0.5000 0.5000 0.0000
S 0.8787 0.8787 0.0000
S 0.1213 0.1213 0.0000

Values from the calculation:
The crystal system is tetragonal. The volume comes out at 52.61 Å³/cell. The total energy is -22.26 eV per cell. Its space group is I4/mmm, No. 139.

***

Question: Number 6 is which compound?
Answer: WS2

***

Question: Look up the volume of the first one.
Answer: 28.92 Å³/cell